! LiSnN (SCAN, PBEsol geometry); values from VASP
! VASP energy in eV per atom: -15.80
! Energy above the most stable polymorph in this dataset in meV/atom: 314.0
! Mass density in g/cm³: 5.10
&SYSTEM
  ibrav = 0, nat = 3, ntyp = 3
/
ATOMIC_SPECIES
Li 6.94 Li.upf
Sn 118.71 Sn.upf
N 14.01 N.upf
CELL_PARAMETERS angstrom
-0.7370 3.2582 1.1915
-0.0790 -2.7615 2.2241
4.0409 0.5925 0.8793
ATOMIC_POSITIONS crystal
Li 0.3333 0.6667 0.5000
Sn 0.6667 0.3333 0.0000
N 0.6667 0.3333 0.5000